Crystalline CsSr2CoF8 at its relaxed geometry, computed with PBE with a Hubbard U.

```
data_CsSr2CoF8
_symmetry_space_group_name_H-M 'P 1'
_symmetry_Int_Tables_number 1
_symmetry_space_group_name_Hall 'P 1'
_cell_length_a 5.1846
_cell_length_b 5.5975
_cell_length_c 7.6028
_cell_angle_alpha 72.92
_cell_angle_beta 87.91
_cell_angle_gamma 79.68
loop_
_atom_site_label
_atom_site_fract_x
_atom_site_fract_y
_atom_site_fract_z
_atom_site_occupancy
Cs1 0.0000 0.0000 0.0000 1
Sr1 0.4737 0.3894 0.2732 1
Sr2 0.5263 0.6106 0.7268 1
Co1 0.0000 0.0000 0.5000 1
F1 0.0140 0.2856 0.2762 1
F2 0.2505 0.7377 0.4167 1
F3 0.2814 0.0797 0.6013 1
F4 0.4524 0.2784 0.9905 1
F5 0.5476 0.7216 0.0095 1
F6 0.7186 0.9203 0.3987 1
F7 0.7495 0.2623 0.5833 1
F8 0.9860 0.7144 0.7238 1
```

Computed properties:
**Symmetry**: P-1 (2)
**Raw total energy**: -5.069 eV/atom
**V**: 207.5 Å³ per cell